1.
A plane-wave DFT calculation with PBE was carried out for Sm4Te3Ru after structural relaxation.

Values from the calculation:
The energy above the lowest structure with this stoichiometry is 227 meV per atom. Its crystal system is orthorhombic. As for the uncorrected formation energy: -6.76 eV/f.u. The density of states at the Fermi level is 12.6 states/eV per cell.

a = 6.263 Å, b = 10.143 Å, c = 9.193 Å
α = 90.00°, β = 90.00°, γ = 90.00°
Fractional positions:
Sm: 0.250 0.038 0.189
Sm: 0.250 0.250 0.621
Sm: 0.250 0.462 0.189
Sm: 0.250 0.750 0.661
Sm: 0.750 0.250 0.339
Sm: 0.750 0.538 0.811
Sm: 0.750 0.750 0.379
Sm: 0.750 0.962 0.811
Te: 0.250 0.010 0.844
Te: 0.250 0.490 0.844
Te: 0.250 0.750 0.324
Te: 0.750 0.250 0.676
Te: 0.750 0.510 0.156
Te: 0.750 0.990 0.156
Ru: 0.250 0.250 0.342
Ru: 0.750 0.750 0.658

---

2.
A plane-wave DFT calculation with PBE was carried out for Sm5Te2Ru after structural relaxation.

Values from the calculation:
Its crystal system is orthorhombic. As for the uncorrected formation energy: -4.32 eV/f.u. The density of states at the Fermi level is 16.1 states/eV per cell.

a = 6.744 Å, b = 6.744 Å, c = 14.800 Å
α = 90.00°, β = 90.00°, γ = 127.19°
Fractional positions:
Sm: 0.063 0.937 0.623
Sm: 0.063 0.937 0.877
Sm: 0.301 0.699 0.250
Sm: 0.368 0.632 0.614
Sm: 0.368 0.632 0.886
Sm: 0.632 0.368 0.114
Sm: 0.632 0.368 0.386
Sm: 0.699 0.301 0.750
Sm: 0.937 0.063 0.123
Sm: 0.937 0.063 0.377
Te: 0.190 0.810 0.059
Te: 0.190 0.810 0.441
Te: 0.810 0.190 0.559
Te: 0.810 0.190 0.941
Ru: 0.219 0.781 0.750
Ru: 0.781 0.219 0.250

---

3.
A plane-wave DFT calculation with PBE was carried out for Sm3TeRu after structural relaxation.

Values from the calculation:
The energy above the lowest structure with this stoichiometry is 12 meV per atom. Its crystal system is monoclinic. As for the uncorrected formation energy: -3.28 eV/f.u. The density of states at the Fermi level is 6.8 states/eV per cell.

a = 6.508 Å, b = 6.508 Å, c = 11.027 Å
α = 104.12°, β = 104.12°, γ = 38.85°
Fractional positions:
Sm: 0.087 0.087 0.389
Sm: 0.352 0.352 0.328
Sm: 0.374 0.374 0.871
Sm: 0.626 0.626 0.129
Sm: 0.648 0.648 0.672
Sm: 0.913 0.913 0.611
Te: 0.098 0.098 0.891
Te: 0.902 0.902 0.109
Ru: 0.275 0.275 0.610
Ru: 0.725 0.725 0.390